## A
# Si6Bi9O26 (SCAN, PBEsol geometry)
# M_tot	0.000	μB per atom
data_Si6Bi9O26
_chemical_formula_sum 'Si12 Bi18 O52'
_symmetry_space_group_name_H-M 'P -3'
_symmetry_Int_Tables_number 147
_cell_length_a 9.6078
_cell_length_b 9.6078
_cell_length_c 13.9613
_cell_angle_alpha 90.00
_cell_angle_beta 90.00
_cell_angle_gamma 120.00
loop_
_symmetry_equiv_pos_as_xyz
'x,y,z'
'-x,-y,-z'
'-y,x-y,z'
'y,-x+y,-z'
'-x+y,-x,z'
'x-y,x,-z'
loop_
_atom_site_label
_atom_site_type_symbol
_atom_site_fract_x
_atom_site_fract_y
_atom_site_fract_z
Si1 Si 0.0230 0.6269 0.3750
Si2 Si 0.0253 0.6270 0.8733
Bi1 Bi 0.0042 0.2419 0.3736
Bi2 Bi 0.0086 0.2394 0.8742
Bi3 Bi 0.3333 0.6667 0.2431
Bi4 Bi 0.3333 0.6667 0.5252
Bi5 Bi 0.3333 0.6667 0.9830
O1 O 0.0000 0.0000 0.1195
O2 O 0.0000 0.0000 0.3735
O3 O 0.0756 0.7597 0.7862
O4 O 0.0909 0.7542 0.2840
O5 O 0.0928 0.7536 0.9654
O6 O 0.0967 0.7519 0.4668
O7 O 0.1116 0.5190 0.3689
O8 O 0.1205 0.5258 0.8802
O9 O 0.1683 0.4961 0.1263
O10 O 0.1715 0.4771 0.6231

---

## B
# Si6Bi9O26 (SCAN, PBEsol geometry)
# M_tot	0.000	μB per atom
data_Si6Bi9O26
_chemical_formula_sum 'Si6 Bi9 O26'
_symmetry_space_group_name_H-M 'P 3'
_symmetry_Int_Tables_number 143
_cell_length_a 9.5824
_cell_length_b 9.5824
_cell_length_c 7.0166
_cell_angle_alpha 90.00
_cell_angle_beta 90.00
_cell_angle_gamma 120.00
loop_
_symmetry_equiv_pos_as_xyz
'x,y,z'
'-y,x-y,z'
'-x+y,-x,z'
loop_
_atom_site_label
_atom_site_type_symbol
_atom_site_fract_x
_atom_site_fract_y
_atom_site_fract_z
Si1 Si 0.0282 0.6254 0.0000
Si2 Si 0.3937 0.0247 0.5135
Bi1 Bi 0.0018 0.7614 0.5018
Bi2 Bi 0.0125 0.2426 0.0050
Bi3 Bi 0.3333 0.6667 0.7316
Bi4 Bi 0.6667 0.3333 0.2543
Bi5 Bi 0.6667 0.3333 0.7637
O1 O 0.0000 0.0000 0.0044
O2 O 0.0000 0.0000 0.4995
O3 O 0.0775 0.7578 0.8246
O4 O 0.0836 0.7515 0.1806
O5 O 0.1190 0.5229 0.9602
O6 O 0.1697 0.4686 0.5206
O7 O 0.3427 0.1034 0.6922
O8 O 0.3504 0.0978 0.3231
O9 O 0.5029 0.3356 0.0116
O10 O 0.5232 0.4075 0.5175

---

A is preferred energetically. Next in line: 15 meV per atom higher.

---

## A
# Sr2BiO (SCAN, PBEsol geometry)
# M_tot	0.255	μB per atom
data_Sr2BiO
_chemical_formula_sum 'Sr8 Bi4 O4'
_symmetry_space_group_name_H-M 'I -4 2 d'
_symmetry_Int_Tables_number 122
_symmetry_space_group_name_Hall 'I -4 2bw'
_cell_length_a 7.380
_cell_length_b 7.380
_cell_length_c 8.686
_cell_angle_alpha 90.00
_cell_angle_beta 90.00
_cell_angle_gamma 90.00
loop_
_atom_site_label
_atom_site_type_symbol
_atom_site_fract_x
_atom_site_fract_y
_atom_site_fract_z
Sr1 Sr 0.137 0.750 0.125
Bi1 Bi 0.000 0.000 0.500
O1 O 0.000 0.000 0.000

---

## B
# Sr2BiO (SCAN, PBEsol geometry)
# M_tot	0.250	μB per atom
data_Sr2BiO
_chemical_formula_sum 'Sr8 Bi4 O4'
_symmetry_space_group_name_H-M 'F m -3 m'
_symmetry_Int_Tables_number 225
_symmetry_space_group_name_Hall '-F 4 2 3'
_cell_length_a 7.591
_cell_length_b 7.591
_cell_length_c 7.591
_cell_angle_alpha 90.00
_cell_angle_beta 90.00
_cell_angle_gamma 90.00
loop_
_atom_site_label
_atom_site_type_symbol
_atom_site_fract_x
_atom_site_fract_y
_atom_site_fract_z
Sr1 Sr 0.250 0.250 0.250
Bi1 Bi 0.000 0.000 0.000
O1 O 0.000 0.000 0.500

---

A is preferred energetically. Next in line: 804 meV per atom higher.

---

## A
# BiTeO2 (SCAN, PBEsol geometry)
# M_tot	0.000	μB per atom
data_BiTeO2
_chemical_formula_sum 'Bi4 Te4 O8'
_symmetry_space_group_name_H-M 'F m -3 m'
_symmetry_Int_Tables_number 225
_symmetry_space_group_name_Hall '-F 4 2 3'
_cell_length_a 6.270
_cell_length_b 6.270
_cell_length_c 6.270
_cell_angle_alpha 90.00
_cell_angle_beta 90.00
_cell_angle_gamma 90.00
loop_
_atom_site_label
_atom_site_type_symbol
_atom_site_fract_x
_atom_site_fract_y
_atom_site_fract_z
Bi1 Bi 0.000 0.000 0.000
Te1 Te 0.000 0.000 0.500
O1 O 0.250 0.250 0.250

---

## B
# BiTeO2 (SCAN, PBEsol geometry)
# M_tot	0.000	μB per atom
data_BiTeO2
_chemical_formula_sum 'Bi3 Te3 O6'
_symmetry_space_group_name_H-M 'R -3 m'
_symmetry_Int_Tables_number 166
_symmetry_space_group_name_Hall '-R 3 2"'
_cell_length_a 3.6504
_cell_length_b 3.6504
_cell_length_c 20.0787
_cell_angle_alpha 90.00
_cell_angle_beta 90.00
_cell_angle_gamma 120.00
loop_
_atom_site_label
_atom_site_type_symbol
_atom_site_fract_x
_atom_site_fract_y
_atom_site_fract_z
Bi1 Bi 0.0000 0.0000 0.0000
Te1 Te 0.0000 0.0000 0.5000
O1 O 0.0000 0.0000 0.3899

---

B is preferred energetically. Next in line: 759 meV per atom higher.

---

## A
# Ti3Bi4O12 (SCAN, PBEsol geometry)
# M_tot	0.000	μB per atom
data_Ti3Bi4O12
_chemical_formula_sum 'Ti6 Bi8 O24'
_symmetry_space_group_name_H-M 'P 1 c 1'
_symmetry_Int_Tables_number 7
_cell_length_a 16.681
_cell_length_b 5.392
_cell_length_c 5.425
_cell_angle_alpha 90.00
_cell_angle_beta 99.36
_cell_angle_gamma 90.00
loop_
_symmetry_equiv_pos_as_xyz
'x,y,z'
'x,-y,z+1/2'
loop_
_atom_site_label
_atom_site_type_symbol
_atom_site_fract_x
_atom_site_fract_y
_atom_site_fract_z
Ti1 Ti 0.000 0.246 0.000
Ti2 Ti 0.253 0.246 0.117
Ti3 Ti 0.741 0.249 0.864
Bi1 Bi 0.128 0.254 0.599
Bi2 Bi 0.417 0.271 0.766
Bi3 Bi 0.572 0.230 0.339
Bi4 Bi 0.864 0.253 0.469
O1 O 0.020 0.466 0.264
O2 O 0.117 0.175 0.012
O3 O 0.217 0.468 0.361
O4 O 0.248 0.054 0.798
O5 O 0.358 0.312 0.165
O6 O 0.494 0.006 0.035
O7 O 0.498 0.494 0.537
O8 O 0.636 0.193 0.809
O9 O 0.752 0.461 0.569
O10 O 0.778 0.020 0.138
O11 O 0.884 0.316 0.898
O12 O 0.985 0.044 0.672

---

## B
# Ti3Bi4O12 (SCAN, PBEsol geometry)
# M_tot	0.000	μB per atom
data_Ti3Bi4O12
_chemical_formula_sum 'Ti12 Bi16 O48'
_symmetry_space_group_name_H-M 'A e a 2'
_symmetry_Int_Tables_number 41
_cell_length_a 33.127
_cell_length_b 5.407
_cell_length_c 5.461
_cell_angle_alpha 90.00
_cell_angle_beta 90.00
_cell_angle_gamma 90.00
loop_
_symmetry_equiv_pos_as_xyz
'x,y,z'
'-x,-y,z'
'-x+1/2,y+1/2,z'
'x+1/2,-y+1/2,z'
'x,y+1/2,z+1/2'
'-x,-y+1/2,z+1/2'
'-x+1/2,y,z+1/2'
'x+1/2,-y,z+1/2'
loop_
_atom_site_label
_atom_site_type_symbol
_atom_site_fract_x
_atom_site_fract_y
_atom_site_fract_z
Ti1 Ti 0.000 0.000 0.000
Ti2 Ti 0.129 0.022 0.005
Bi1 Bi 0.067 0.048 0.552
Bi2 Bi 0.212 0.473 0.071
O1 O 0.005 0.239 0.713
O2 O 0.059 0.486 0.458
O3 O 0.116 0.259 0.733
O4 O 0.118 0.271 0.232
O5 O 0.182 0.023 0.992
O6 O 0.250 0.235 0.298

---

## C
# Ti3Bi4O12 (SCAN, PBEsol geometry)
# M_tot	0.000	μB per atom
data_Ti3Bi4O12
_chemical_formula_sum 'Ti6 Bi8 O24'
_symmetry_space_group_name_H-M 'C 1 2/m 1'
_symmetry_Int_Tables_number 12
_cell_length_a 5.459
_cell_length_b 5.376
_cell_length_c 16.583
_cell_angle_alpha 90.00
_cell_angle_beta 97.21
_cell_angle_gamma 90.00
loop_
_symmetry_equiv_pos_as_xyz
'x,y,z'
'-x,-y,-z'
'-x,y,-z'
'x,-y,z'
'x+1/2,y+1/2,z'
'-x+1/2,-y+1/2,-z'
'-x+1/2,y+1/2,-z'
'x+1/2,-y+1/2,z'
loop_
_atom_site_label
_atom_site_type_symbol
_atom_site_fract_x
_atom_site_fract_y
_atom_site_fract_z
Ti1 Ti 0.000 0.000 0.000
Ti2 Ti 0.118 0.000 0.257
Bi1 Bi 0.124 0.500 0.133
Bi2 Bi 0.240 0.500 0.423
O1 O 0.000 0.252 0.500
O2 O 0.028 0.000 0.120
O3 O 0.148 0.000 0.365
O4 O 0.165 0.241 0.767
O5 O 0.250 0.250 0.000

---

A is preferred energetically. Next in line: 19 meV per atom higher.

---

## A
# RbBi3Os (SCAN, PBEsol geometry)
# M_tot	0.588	μB per atom
data_RbBi3Os
_chemical_formula_sum 'Rb1 Bi3 Os1'
_symmetry_space_group_name_H-M 'P m -3 m'
_symmetry_Int_Tables_number 221
_symmetry_space_group_name_Hall '-P 4 2 3'
_cell_length_a 5.793
_cell_length_b 5.793
_cell_length_c 5.793
_cell_angle_alpha 90.00
_cell_angle_beta 90.00
_cell_angle_gamma 90.00
loop_
_atom_site_label
_atom_site_type_symbol
_atom_site_fract_x
_atom_site_fract_y
_atom_site_fract_z
Rb1 Rb 0.000 0.000 0.000
Bi1 Bi 0.000 0.000 0.500
Os1 Os 0.500 0.500 0.500

---

## B
# RbBi3Os (SCAN, PBEsol geometry)
# M_tot	0.000	μB per atom
data_RbBi3Os
_chemical_formula_sum 'Rb1 Bi3 Os1'
_symmetry_space_group_name_H-M 'P m -3 m'
_symmetry_Int_Tables_number 221
_symmetry_space_group_name_Hall '-P 4 2 3'
_cell_length_a 5.412
_cell_length_b 5.412
_cell_length_c 5.412
_cell_angle_alpha 90.00
_cell_angle_beta 90.00
_cell_angle_gamma 90.00
loop_
_atom_site_label
_atom_site_type_symbol
_atom_site_fract_x
_atom_site_fract_y
_atom_site_fract_z
Rb1 Rb 0.000 0.000 0.000
Bi1 Bi 0.000 0.500 0.500
Os1 Os 0.500 0.500 0.500

---

B is preferred energetically. Next in line: 2140 meV per atom higher.

---

## A
# Si2BiPb (SCAN, PBEsol geometry)
# M_tot	0.000	μB per atom
data_Si2BiPb
_chemical_formula_sum 'Si8 Bi4 Pb4'
_symmetry_space_group_name_H-M 'F m -3 m'
_symmetry_Int_Tables_number 225
_symmetry_space_group_name_Hall '-F 4 2 3'
_cell_length_a 7.146
_cell_length_b 7.146
_cell_length_c 7.146
_cell_angle_alpha 90.00
_cell_angle_beta 90.00
_cell_angle_gamma 90.00
loop_
_atom_site_label
_atom_site_type_symbol
_atom_site_fract_x
_atom_site_fract_y
_atom_site_fract_z
Si1 Si 0.250 0.250 0.250
Bi1 Bi 0.000 0.000 0.000
Pb1 Pb 0.000 0.000 0.500

---

## B
# Si2BiPb (SCAN, PBEsol geometry)
# M_tot	0.000	μB per atom
data_Si2BiPb
_chemical_formula_sum 'Si8 Bi4 Pb4'
_symmetry_space_group_name_H-M 'I -4 2 d'
_symmetry_Int_Tables_number 122
_symmetry_space_group_name_Hall 'I -4 2bw'
_cell_length_a 6.273
_cell_length_b 6.273
_cell_length_c 12.758
_cell_angle_alpha 90.00
_cell_angle_beta 90.00
_cell_angle_gamma 90.00
loop_
_atom_site_label
_atom_site_type_symbol
_atom_site_fract_x
_atom_site_fract_y
_atom_site_fract_z
Si1 Si 0.241 0.250 0.125
Bi1 Bi 0.000 0.000 0.500
Pb1 Pb 0.000 0.000 0.000

---

B is preferred energetically. Next in line: 159 meV per atom higher.